No. 1
Crystalline ThZrSc2 at its relaxed geometry. Source: Alexandria, functional PBE.

The structure belongs to space group R-3m (No. 166, hexagonal axes); the cell edges are 3.3279, 3.3279 and 32.3955 Å and the angles 90.00°, 90.00° and 120.00°. The inequivalent atoms are Th at (0.0000, 0.0000, 0.0000), Zr at (0.0000, 0.0000, 0.5000) and Sc at (0.0000, 0.0000, 0.2451).

Its energy above the lowest structure with this stoichiometry is 0.056 eV per atom. As for the density: 6.624 g/cm³. The value obtained for the formation energy is 0.28 eV per formula unit.

***

No. 2
Crystalline HfZr4In at its relaxed geometry. Source: Alexandria, functional PBE.

The structure belongs to space group Pmmm (No. 47); the cell edges are 3.074, 5.272 and 8.733 Å and the angles 90.00°, 90.00° and 90.00°. The inequivalent atoms are Hf at (0.000, 0.000, 0.000), Zr at (0.000, 0.500, 0.184), Zr at (0.500, 0.000, 0.313) and In at (0.500, 0.500, 0.500).

Its energy above the lowest structure with this stoichiometry is 0.000 eV per atom. As for the density: 7.723 g/cm³. The value obtained for the formation energy is 0.61 eV per formula unit.

***

No. 3
Crystalline K3Pr3ScS8 at its relaxed geometry. Source: Alexandria, functional PBE.

The structure belongs to space group C2/m (No. 12); the cell edges are 14.309, 8.255 and 8.884 Å and the angles 90.00°, 122.51° and 90.00°. The inequivalent atoms are K at (0.000, 0.000, 0.000), K at (0.250, 0.250, 0.000), Pr at (0.000, 0.500, 0.500), Pr at (0.250, 0.250, 0.500), Sc at (0.000, 0.000, 0.500), S at (0.013, 0.232, 0.306), S at (0.219, 0.000, 0.694) and S at (0.237, 0.500, 0.711).

The raw formation energy comes out at -1705 meV per atom. As for the density: 3.158 g/cm³.

***

No. 4
Crystalline Pm6SmHo6 at its relaxed geometry. Source: Alexandria, functional PBE.

The structure belongs to space group P6/mmm (No. 191); the cell edges are 6.7150, 6.7150 and 11.4005 Å and the angles 90.00°, 90.00° and 120.00°. The inequivalent atoms are Pm at (0.0000, 0.0000, 0.1532), Pm at (0.3333, 0.6667, 0.0000), Pm at (0.3333, 0.6667, 0.5000), Sm at (0.0000, 0.0000, 0.5000) and Ho at (0.0000, 0.5000, 0.2529).

As for the density: 7.497 g/cm³. The value obtained for the formation energy is 3.44 eV per formula unit.

***

No. 5
Crystalline Ac2Mg3Ag4 at its relaxed geometry. Source: Alexandria, functional PBE.

The structure belongs to space group Cmce (No. 64); the cell edges are 6.326, 17.195 and 8.321 Å and the angles 90.00°, 90.00° and 90.00°. The inequivalent atoms are Ac at (0.000, 0.110, 0.088), Mg at (0.000, 0.000, 0.500), Mg at (0.250, 0.223, 0.750), Ag at (0.000, 0.179, 0.474) and Ag at (0.250, 0.057, 0.750).

As for the density: 7.033 g/cm³. The value obtained for the formation energy is -1.97 eV per formula unit.

***

No. 6
Crystalline BaRh2W at its relaxed geometry. Source: Alexandria, functional PBE.

The structure belongs to space group P4/mmm (No. 123); the cell edges are 5.140, 5.140 and 2.951 Å and the angles 90.00°, 90.00° and 90.00°. The inequivalent atoms are Ba at (0.000, 0.000, 0.000), Rh at (0.000, 0.500, 0.500) and W at (0.500, 0.500, 0.000).

Its energy above the lowest structure with this stoichiometry is 0.558 eV per atom. As for the density: 11.224 g/cm³. The value obtained for the formation energy is 2.70 eV per formula unit.

***

Please write out number 2 again, unchanged.
Crystalline HfZr4In at its relaxed geometry. Source: Alexandria, functional PBE.

The structure belongs to space group Pmmm (No. 47); the cell edges are 3.074, 5.272 and 8.733 Å and the angles 90.00°, 90.00° and 90.00°. The inequivalent atoms are Hf at (0.000, 0.000, 0.000), Zr at (0.000, 0.500, 0.184), Zr at (0.500, 0.000, 0.313) and In at (0.500, 0.500, 0.500).

Its energy above the lowest structure with this stoichiometry is 0.000 eV per atom. As for the density: 7.723 g/cm³. The value obtained for the formation energy is 0.61 eV per formula unit.

***

Which of these has the highest density?
BaRh2W

***

Which of these has the highest density?
BaRh2W

***

Which of these has the highest density?
BaRh2W